The following is a DFT calculation (PBE) of crystalline NaPr4Nd3Te8 at its relaxed geometry.

The calculation puts the formation energy (no corrections) at -22.59 eV per formula unit.

The space group is R-3m (No. 166, hexagonal axes) and the conventional cell measures 9.0368, 9.0368 and 22.1430 Å, with angles of 90.00, 90.00 and 120.00 degrees. The asymmetric unit holds Na at (0.0000, 0.0000, 0.0000), Pr at (0.0000, 0.0000, 0.5000), Pr at (0.0000, 0.5000, 0.5000), Nd at (0.0000, 0.5000, 0.0000), Te at (0.0000, 0.0000, 0.2508) and Te at (0.0031, 0.5016, 0.7484).

***

The following is a DFT calculation (PBE) of crystalline Na2Pr3NdTe6 at its relaxed geometry.

The calculation puts the formation energy (no corrections) at -16.47 eV per formula unit.

The space group is C2/m (No. 12) and the conventional cell measures 7.8409, 13.5743 and 7.8997 Å, with angles of 90.00, 109.28 and 90.00 degrees. The asymmetric unit holds Na at (0.0000, 0.1662, 0.0000), Pr at (0.0000, 0.0000, 0.5000), Pr at (0.0000, 0.3319, 0.5000), Nd at (0.0000, 0.5000, 0.0000), Te at (0.2485, 0.3336, 0.2466) and Te at (0.2490, 0.5000, 0.7504).

***

The following is a DFT calculation (PBE) of crystalline NaPr2NdTe4 at its relaxed geometry.

The calculation puts the formation energy (no corrections) at -11.14 eV per formula unit.

The space group is P2/m (No. 10) and the conventional cell measures 7.8563, 4.5029 and 7.8616 Å, with angles of 90.00, 109.09 and 90.00 degrees. The asymmetric unit holds Na at (0.0000, 0.0000, 0.0000), Pr at (0.5000, 0.0000, 0.5000), Pr at (0.5000, 0.5000, 0.0000), Nd at (0.0000, 0.5000, 0.5000), Te at (0.2458, 0.0000, 0.7509) and Te at (0.2470, 0.5000, 0.2486).

***

The following is a DFT calculation (PBE) of crystalline NaPrNdTl at its relaxed geometry.

The calculation puts the calculated total energy at -54.6 eV/cell.

The space group is F-43m (No. 216) and the conventional cell measures 7.8904, 7.8904 and 7.8904 Å, with angles of 90.00, 90.00 and 90.00 degrees. The asymmetric unit holds Na at (0.0000, 0.0000, 0.0000), Pr at (0.2500, 0.2500, 0.2500), Nd at (0.2500, 0.2500, 0.7500) and Tl at (0.0000, 0.0000, 0.5000).

***

The following is a DFT calculation (PBE) of crystalline NaPrNd2Tl4 at its relaxed geometry.

The calculation puts the calculated total energy at -83.2 eV/cell.

The space group is R-3m (No. 166, hexagonal axes) and the conventional cell measures 5.4458, 5.4458 and 27.4332 Å, with angles of 90.00, 90.00 and 120.00 degrees. The asymmetric unit holds Na at (0.0000, 0.0000, 0.0000), Pr at (0.0000, 0.0000, 0.5000), Nd at (0.0000, 0.0000, 0.2559), Tl at (0.0000, 0.0000, 0.1247) and Tl at (0.0000, 0.0000, 0.3749).

***

The following is a DFT calculation (PBE) of crystalline NaPrNdZn at its relaxed geometry.

The calculation puts the calculated total energy at -47.7 eV/cell.

The space group is F-43m (No. 216) and the conventional cell measures 7.6871, 7.6871 and 7.6871 Å, with angles of 90.00, 90.00 and 90.00 degrees. The asymmetric unit holds Na at (0.0000, 0.0000, 0.0000), Pr at (0.2500, 0.2500, 0.2500), Nd at (0.2500, 0.2500, 0.7500) and Zn at (0.0000, 0.0000, 0.5000).

***

The following is a DFT calculation (PBE) of crystalline NaNd3Pt8 at its relaxed geometry.

The calculation puts the calculated total energy at -225.9 eV/cell.

The space group is R3m (No. 160, hexagonal axes) and the conventional cell measures 5.4877, 5.4877 and 26.8481 Å, with angles of 90.00, 90.00 and 120.00 degrees. The asymmetric unit holds Na at (0.0000, 0.0000, 0.0000), Nd at (0.0000, 0.0000, 0.1214), Nd at (0.0000, 0.0000, 0.5055), Nd at (0.0000, 0.0000, 0.6338), Pt at (0.0000, 0.0000, 0.3160), Pt at (0.0000, 0.0000, 0.8157), Pt at (0.0030, 0.5015, 0.0662) and Pt at (0.1673, 0.3347, 0.8984).

***

The following is a DFT calculation (PBE) of crystalline NaNd2Pt9 at its relaxed geometry.

The calculation puts the calculated total energy at -220.4 eV/cell.

The space group is R-3m (No. 166, hexagonal axes) and the conventional cell measures 5.4815, 5.4815 and 26.4729 Å, with angles of 90.00, 90.00 and 120.00 degrees. The asymmetric unit holds Na at (0.0000, 0.0000, 0.0000), Nd at (0.0000, 0.0000, 0.1364), Pt at (0.0000, 0.0000, 0.3322), Pt at (0.0000, 0.0000, 0.5000) and Pt at (0.0041, 0.5021, 0.9159).

***

The following is a DFT calculation (PBE) of crystalline NaNdPt10 at its relaxed geometry.

The calculation puts the calculated total energy at -71.8 eV/cell.

The space group is Pmmm (No. 47) and the conventional cell measures 4.4143, 5.4202 and 9.3115 Å, with angles of 90.00, 90.00 and 90.00 degrees. The asymmetric unit holds Na at (0.0000, 0.0000, 0.0000), Nd at (0.0000, 0.5000, 0.5000), Pt at (0.0000, 0.0000, 0.3300), Pt at (0.0000, 0.5000, 0.1637), Pt at (0.5000, 0.0000, 0.5000), Pt at (0.5000, 0.2523, 0.2523) and Pt at (0.5000, 0.5000, 0.0000).

***

The following is a DFT calculation (PBE) of crystalline Na2NdPt9 at its relaxed geometry.

The calculation puts the calculated total energy at -203.9 eV/cell.

The space group is R-3m (No. 166, hexagonal axes) and the conventional cell measures 5.3886, 5.3886 and 26.5033 Å, with angles of 90.00, 90.00 and 120.00 degrees. The asymmetric unit holds Na at (0.0000, 0.0000, 0.1451), Nd at (0.0000, 0.0000, 0.0000), Pt at (0.0000, 0.0000, 0.3328), Pt at (0.0000, 0.0000, 0.5000) and Pt at (0.0024, 0.5012, 0.9156).

***

The following is a DFT calculation (PBE) of crystalline NaNdSnPt at its relaxed geometry.

The calculation puts the calculated total energy at -75.3 eV/cell.

The space group is F-43m (No. 216) and the conventional cell measures 7.0230, 7.0230 and 7.0230 Å, with angles of 90.00, 90.00 and 90.00 degrees. The asymmetric unit holds Na at (0.0000, 0.0000, 0.0000), Nd at (0.2500, 0.2500, 0.7500), Sn at (0.2500, 0.2500, 0.2500) and Pt at (0.0000, 0.0000, 0.5000).